(1)
Below is a relaxed structure of MnFe3Sb2P6O24, with properties calculated at the GGA-PBEsol level.

Values from the calculation:
Total energy = -7.531 eV per atom
Formation energy without anion corrections = -1.795 eV/atom

Cell and atoms, written as POSCAR:
```
MnFe3Sb2P6O24
1.0
-4.5063 -7.1644 0.5124
3.5051 -7.3838 -2.2567
1.9604 -5.8122 6.1321
Mn Fe Sb P O
1 3 2 6 24
Cartesian
0.9659 -5.3948 3.2219
0.0582 -14.9928 1.3559
-0.5609 -9.7435 -0.8510
1.4665 -10.5944 5.0818
-0.9287 -14.5786 -1.5321
0.4583 -10.1713 2.1314
2.0662 -13.1338 3.1385
2.8358 -8.0385 3.6063
-1.7412 -10.0909 4.8760
2.7715 -10.4097 -0.5525
-2.0425 -12.3236 0.8180
-1.0300 -7.0771 1.2245
1.6396 -17.0553 4.0800
2.2297 -14.1067 4.3012
3.3435 -8.9368 -0.5566
-0.4855 -15.1632 5.0775
0.0837 -3.8516 2.6994
1.3225 -10.3255 0.0350
-1.1419 -13.5219 0.3186
-1.1450 -11.0412 0.7756
1.1446 -13.5957 2.0191
-0.4062 -8.4741 0.8913
3.5066 -12.8398 2.6207
3.1854 -7.9865 2.1261
2.1283 -5.3973 1.7790
-2.5206 -7.3442 1.6757
1.4465 -11.7684 3.5768
-0.2564 -6.5402 2.4300
1.9997 -9.3519 3.7344
1.9067 -6.8593 4.0251
-0.2576 -10.1546 4.3906
-2.4024 -9.1636 3.8668
1.3058 -5.1138 -0.6679
-2.3135 -11.5385 4.7962
-1.1476 -6.1694 0.0191
-0.6981 -3.4586 0.2542
```

---

(2)
Below is a relaxed structure of ZnMoAs, with properties calculated at the GGA-PBEsol level.

Values from the calculation:
Total energy = -5.688 eV per atom
Energy of formation = 1.4 eV/f.u.

Cell and atoms, written as POSCAR:
```
ZnMoAs
1.0
-1.3943 3.1192 2.4545
-3.3354 -0.6130 2.4895
0.5009 -0.2214 4.1712
As Mo Zn
1 1 1
Cartesian
-2.1144 1.1424 4.5576
-1.0572 0.5712 2.2788
0.0000 0.0000 0.0000
```

---

(3)
Below is a relaxed structure of ZrCdFe2Sn, with properties calculated at the GGA-PBEsol level.

Values from the calculation:
Total energy = -5.301 eV per atom
Energy of formation = 6.0 eV/f.u.

Cell and atoms, written as POSCAR:
```
ZrCdFe2Sn
1.0
4.6787 0.0000 0.0000
0.0000 4.6787 0.0000
0.0000 0.0000 5.0021
Fe Sn Zr Cd
2 1 1 1
Cartesian
0.0000 2.3393 0.0000
2.3393 0.0000 0.0000
0.0000 0.0000 0.0000
2.3393 2.3393 2.5011
0.0000 0.0000 2.5011
```